VCdIn2Cl6, relaxed, DFT PBE-GGA; size of the total moment = 0.30 μB/atom; N(E_F) = 0.76 states/eV per atom; formation energy (no corrections) = -0.94 eV/atom; E_tot = -0.132 Ha/atom
1.0
-0.597 1.562 -6.982
-7.290 0.359 0.703
0.698 9.933 2.163
V Cd In Cl
2 2 4 12
direct
0.500 0.244 0.500
0.000 0.756 0.000
0.000 0.733 0.500
0.500 0.267 0.000
0.500 0.782 0.221
0.000 0.218 0.721
0.500 0.782 0.779
0.000 0.218 0.279
0.500 0.223 0.257
0.500 0.223 0.743
0.000 0.777 0.243
0.000 0.777 0.757
0.249 0.008 0.500
0.751 0.008 0.500
0.252 0.478 0.500
0.748 0.478 0.500
0.752 0.522 0.000
0.248 0.522 0.000
0.251 0.992 0.000
0.749 0.992 0.000